Material: CaBeAl2
Method: DFT, SCAN
State: PBEsol geometry

Computed properties:
size of the total moment = 0.0 μB/f.u.
space-group type = R-3m
E_form = -0.06 eV/atom

a = 4.0418 Å, b = 4.0418 Å, c = 6.0683 Å
α = 70.55°, β = 70.55°, γ = 60.00°
Last column: nearest neighbours and their distance in Å.
Positions (direct):
Be1 0.0000 0.0000 0.0000  6 Al 2.43
Ca1 0.5000 0.5000 0.5000  8 Al 3.15-3.49
Al1 0.2923 0.2923 0.1231  3 Be 2.43, 3 Al 2.71
Al2 0.7077 0.7077 0.8769  3 Be 2.43, 3 Al 2.71